No. 1
Compound: ReTcIr2
Source: Alexandria
Functional: PBE
Structure: relaxed

## Properties
The value obtained for the spin magnetization is 0.00 μB/f.u. The calculation puts the offset from the most stable computed form at 192.5 meV per atom.

```
4
Lattice="1.3777 0.7954 8.8820 -1.3777 0.7954 8.8820 0.0000 -1.5908 8.8820" Properties=species:S:1:pos:R:3 pbc="T T T"
Re 0.0000 0.0000 0.0000
Tc 0.0000 0.0000 13.3230
Ir 0.0000 0.0000 6.6581
Ir 0.0000 0.0000 19.9879
```

***

No. 2
Compound: ReTcIr4
Source: Alexandria
Functional: PBE
Structure: relaxed

## Properties
The value obtained for the spin magnetization is 0.00 μB/f.u. The calculation puts the offset from the most stable computed form at 530.9 meV per atom.

```
6
Lattice="0.0000 3.5947 3.5947 3.5947 0.0000 3.5947 3.5947 3.5947 0.0000" Properties=species:S:1:pos:R:3 pbc="T T T"
Re 0.0000 0.0000 0.0000
Tc 5.3920 5.3920 5.3920
Ir 2.6964 2.6964 2.6964
Ir 4.4929 4.4929 2.6964
Ir 4.4929 2.6964 4.4929
Ir 2.6964 4.4929 4.4929
```

***

No. 3
Compound: Re5Tc2Ir2
Source: Alexandria
Functional: PBE
Structure: relaxed

## Properties
The value obtained for the spin magnetization is 0.00 μB/f.u.

```
9
Lattice="4.3591 -1.9455 0.0000 4.3591 1.9455 0.0000 -2.6247 0.0000 7.8358" Properties=species:S:1:pos:R:3 pbc="T T T"
Re 0.0000 0.0000 0.0000
Re -1.7176 0.0000 5.2332
Re 0.8775 0.0000 6.0715
Re 5.2159 0.0000 1.7644
Re 7.8111 0.0000 2.6026
Tc 1.7445 0.0000 3.4744
Tc 4.3489 0.0000 4.3614
Ir 2.6140 0.0000 0.8701
Ir 3.4795 0.0000 6.9658
```

***

No. 4
Compound: Re2TcIr
Source: Alexandria
Functional: PBE
Structure: relaxed

## Properties
The value obtained for the spin magnetization is 0.00 μB/f.u. The calculation puts the offset from the most stable computed form at 6.1 meV per atom.

```
4
Lattice="-1.9444 1.9444 3.8909 1.9444 -1.9444 3.8909 1.9444 1.9444 -3.8909" Properties=species:S:1:pos:R:3 pbc="T T T"
Re 1.9444 0.0000 1.9455
Re 0.0000 1.9444 1.9455
Tc 0.0000 0.0000 0.0000
Ir 0.0000 0.0000 3.8909
```

***

No. 5
Compound: ReTcIr2
Source: Alexandria
Functional: PBE
Structure: relaxed

## Properties
The value obtained for the spin magnetization is 0.00 μB/f.u. The calculation puts the offset from the most stable computed form at 806.4 meV per atom.

```
4
Lattice="0.0000 3.1113 3.1113 3.1113 0.0000 3.1113 3.1113 3.1113 0.0000" Properties=species:S:1:pos:R:3 pbc="T T T"
Re 0.0000 0.0000 0.0000
Tc 3.1113 3.1113 3.1113
Ir 1.5556 1.5556 1.5556
Ir 4.6669 4.6669 4.6669
```

***

No. 6
Compound: Re3TcIr
Source: Alexandria
Functional: PBE
Structure: relaxed

## Properties
The value obtained for the spin magnetization is 0.00 μB/f.u. The calculation puts the offset from the most stable computed form at 0.0 meV per atom.

```
20
Lattice="7.0958 0.0000 0.0000 0.0000 4.8020 0.0000 -3.7608 0.0000 8.6441" Properties=species:S:1:pos:R:3 pbc="T T T"
Re -0.3966 0.8021 1.7408
Re -2.2770 1.5988 6.0628
Re 0.6769 3.1952 0.8181
Re -1.2035 4.0077 5.1401
Re 0.1704 0.8037 6.9041
Re 2.0508 1.5973 2.5820
Re 1.2842 3.2047 6.0621
Re 3.1646 3.9983 1.7401
Re 4.5385 0.7942 3.5040
Re 2.6581 1.6068 7.8261
Re 5.6120 3.2031 2.5813
Re 3.7316 3.9998 6.9034
Tc -0.8863 3.1934 7.8231
Tc 0.9941 4.0095 3.5010
Tc 2.3409 0.7925 5.1431
Tc 4.2213 1.6085 0.8210
Ir 1.7788 0.7890 0.0058
Ir -0.1016 1.6120 4.3279
Ir 3.4366 3.1900 4.3162
Ir 1.5562 4.0130 8.6383
```

***

How do the records compare in E_form? In the order shown, they have -0.0933, 0.5098, -0.0435, -0.0917, 0.5205, -0.1527 eV/atom.